CuNiSnHg: relaxed, PBE.

```
4
Lattice="0.000 3.214 3.214 3.214 0.000 3.214 3.214 3.214 0.000" Properties=species:S:1:pos:R:3 pbc="T T T"
Cu 0.000 0.000 0.000
Ni 3.214 3.214 3.214
Sn 4.822 4.822 4.822
Hg 1.607 1.607 1.607
```

Relative energy among the computed polymorphs ... 0.0 kJ per mole of atoms
DFT total energy ... -3.27 eV/atom

---

InWAu3S4: relaxed, PBE.

```
9
Lattice="6.186 0.000 0.000 0.000 6.186 0.000 0.000 0.000 6.186" Properties=species:S:1:pos:R:3 pbc="T T T"
In 0.000 0.000 0.000
W 3.093 3.093 3.093
Au 0.000 3.093 3.093
Au 3.093 0.000 3.093
Au 3.093 3.093 0.000
S 1.753 1.753 1.753
S 1.753 4.433 4.433
S 4.433 1.753 4.433
S 4.433 4.433 1.753
```

DFT total energy ... -4.58 eV/atom

---

NaTl3Re2O6: relaxed, PBE.

```
12
Lattice="6.245 0.000 0.000 -3.122 5.408 0.000 0.000 0.000 6.883" Properties=species:S:1:pos:R:3 pbc="T T T"
Na 0.000 0.000 0.000
Tl 0.000 0.000 3.442
Tl 0.000 3.606 1.780
Tl 3.123 1.803 5.103
Re 0.000 3.606 5.475
Re 3.123 1.803 1.408
O 0.000 1.816 5.458
O -1.550 4.500 5.458
O 1.573 0.908 1.425
O 1.550 4.500 5.458
O 4.672 0.908 1.425
O 3.123 3.592 1.425
```

DFT total energy ... -6.26 eV/atom

---

SrLaGd: relaxed, PBE.

```
3
Lattice="0.000 4.127 4.127 4.127 0.000 4.127 4.127 4.127 0.000" Properties=species:S:1:pos:R:3 pbc="T T T"
Sr 0.000 0.000 0.000
La 6.191 6.191 6.191
Gd 4.127 4.127 4.127
```

DFT total energy ... -2.92 eV/atom

---

Na2Mg2GaGePt2: relaxed, PBE.

```
8
Lattice="4.588 0.000 0.000 0.000 4.588 0.000 0.000 0.000 6.493" Properties=species:S:1:pos:R:3 pbc="T T T"
Na 0.000 2.294 1.618
Na 2.294 0.000 4.875
Mg 0.000 0.000 0.000
Mg 2.294 2.294 3.246
Ga 2.294 2.294 0.000
Ge 0.000 0.000 3.246
Pt 0.000 2.294 4.865
Pt 2.294 0.000 1.628
```

DFT total energy ... -3.58 eV/atom

---

LiInGaCu: relaxed, PBE.

```
4
Lattice="0.000 3.201 3.201 3.201 0.000 3.201 3.201 3.201 0.000" Properties=species:S:1:pos:R:3 pbc="T T T"
Li 0.000 0.000 0.000
In 4.802 4.802 4.802
Ga 1.601 1.601 1.601
Cu 3.201 3.201 3.201
```

Relative energy among the computed polymorphs ... 0.0 kJ per mole of atoms
DFT total energy ... -2.98 eV/atom

---

GdThHg: relaxed, PBE.

```
3
Lattice="0.000 3.660 3.660 3.660 0.000 3.660 3.660 3.660 0.000" Properties=species:S:1:pos:R:3 pbc="T T T"
Gd 0.000 0.000 0.000
Th 3.660 3.660 3.660
Hg 1.830 1.830 1.830
```

Formation energy ... 0.3 eV per formula unit
Relative energy among the computed polymorphs ... 0.0 kJ per mole of atoms
DFT total energy ... -4.03 eV/atom

---

PaF2: relaxed, PBE.

```
6
Lattice="5.927 0.000 0.000 0.000 5.927 0.000 0.000 0.000 3.184" Properties=species:S:1:pos:R:3 pbc="T T T"
Pa 0.000 0.000 0.000
Pa 2.964 2.964 1.592
F 1.324 1.324 1.592
F 1.640 4.287 0.000
F 4.287 1.640 0.000
F 4.604 4.604 1.592
```

Relative energy among the computed polymorphs ... 0.0 kJ per mole of atoms
DFT total energy ... -6.93 eV/atom

---

Q: Number 7 is which compound?
A: GdThHg

---

Please write out number 7 again, unchanged.
GdThHg: relaxed, PBE.

```
3
Lattice="0.000 3.660 3.660 3.660 0.000 3.660 3.660 3.660 0.000" Properties=species:S:1:pos:R:3 pbc="T T T"
Gd 0.000 0.000 0.000
Th 3.660 3.660 3.660
Hg 1.830 1.830 1.830
```

Formation energy ... 0.3 eV per formula unit
Relative energy among the computed polymorphs ... 0.0 kJ per mole of atoms
DFT total energy ... -4.03 eV/atom

---

Q: Look up the DFT total energy of the seventh one.
A: -4.03 eV/atom

---

What did the fifth record say?
Na2Mg2GaGePt2: relaxed, PBE.

```
8
Lattice="4.588 0.000 0.000 0.000 4.588 0.000 0.000 0.000 6.493" Properties=species:S:1:pos:R:3 pbc="T T T"
Na 0.000 2.294 1.618
Na 2.294 0.000 4.875
Mg 0.000 0.000 0.000
Mg 2.294 2.294 3.246
Ga 2.294 2.294 0.000
Ge 0.000 0.000 3.246
Pt 0.000 2.294 4.865
Pt 2.294 0.000 1.628
```

DFT total energy ... -3.58 eV/atom